one.
# MnZn2Co | Alexandria via LeMat-Bulk | PBE-GGA | optimized geometry
data_MnZn2Co
_symmetry_space_group_name_H-M 'R 3 m'
_symmetry_Int_Tables_number 160
_symmetry_space_group_name_Hall 'R 3 -2"'
_cell_length_a 2.5772
_cell_length_b 2.5772
_cell_length_c 25.9848
_cell_angle_alpha 90.00
_cell_angle_beta 90.00
_cell_angle_gamma 120.00
loop_
_atom_site_label
_atom_site_type_symbol
_atom_site_fract_x
_atom_site_fract_y
_atom_site_fract_z
_atom_site_occupancy
Mn1 Mn 0.0000 0.0000 0.0000 1
Zn1 Zn 0.0000 0.0000 0.5125 1
Zn2 Zn 0.0000 0.0000 0.7504 1
Co1 Co 0.0000 0.0000 0.2616 1
# Density of states at the Fermi level: 9.0 states/eV per cell
# Calculated volume: 12.5 Å³/atom
# Spin magnetization: 5.04 μB/cell

two.
# MnZn2Co | Alexandria via LeMat-Bulk | PBE-GGA | optimized geometry
data_MnZn2Co
_symmetry_space_group_name_H-M 'R -3 m'
_symmetry_Int_Tables_number 166
_symmetry_space_group_name_Hall '-R 3 2"'
_cell_length_a 2.6358
_cell_length_b 2.6358
_cell_length_c 25.6567
_cell_angle_alpha 90.00
_cell_angle_beta 90.00
_cell_angle_gamma 120.00
loop_
_atom_site_label
_atom_site_type_symbol
_atom_site_fract_x
_atom_site_fract_y
_atom_site_fract_z
_atom_site_occupancy
Mn1 Mn 0.0000 0.0000 0.0000 1
Zn1 Zn 0.0000 0.0000 0.2476 1
Co1 Co 0.0000 0.0000 0.5000 1
# Density of states at the Fermi level: 8.5 states/eV per cell
# Calculated volume: 12.9 Å³/atom
# Spin magnetization: 12.23 μB/cell

Which is the most stable structure? one is the most stable.

one.
# Y2ZrW | Alexandria via LeMat-Bulk | PBE-GGA | optimized geometry
data_Y2ZrW
_symmetry_space_group_name_H-M 'I -4 2 d'
_symmetry_Int_Tables_number 122
_symmetry_space_group_name_Hall 'I -4 2bw'
_cell_length_a 8.245
_cell_length_b 8.245
_cell_length_c 6.007
_cell_angle_alpha 90.00
_cell_angle_beta 90.00
_cell_angle_gamma 90.00
loop_
_atom_site_label
_atom_site_type_symbol
_atom_site_fract_x
_atom_site_fract_y
_atom_site_fract_z
_atom_site_occupancy
Y1 Y 0.217 0.250 0.125 1
Zr1 Zr 0.000 0.000 0.500 1
W1 W 0.000 0.000 0.000 1
# Density of states at the Fermi level: 14.4 states/eV per cell
# Calculated volume: 25.5 Å³/atom
# Spin magnetization: 0.00 μB/cell

two.
# Y2ZrW | Alexandria via LeMat-Bulk | PBE-GGA | optimized geometry
data_Y2ZrW
_symmetry_space_group_name_H-M 'P 4/m m m'
_symmetry_Int_Tables_number 123
_symmetry_space_group_name_Hall '-P 4 2'
_cell_length_a 4.340
_cell_length_b 4.340
_cell_length_c 5.016
_cell_angle_alpha 90.00
_cell_angle_beta 90.00
_cell_angle_gamma 90.00
loop_
_atom_site_label
_atom_site_type_symbol
_atom_site_fract_x
_atom_site_fract_y
_atom_site_fract_z
_atom_site_occupancy
Y1 Y 0.000 0.500 0.000 1
Zr1 Zr 0.000 0.000 0.500 1
W1 W 0.500 0.500 0.500 1
# Density of states at the Fermi level: 4.5 states/eV per cell
# Calculated volume: 23.6 Å³/atom
# Spin magnetization: 0.00 μB/cell

Which is the most stable structure? two is the most stable.

one.
# BC2 | Alexandria via LeMat-Bulk | PBE-GGA | optimized geometry
data_BC2
_symmetry_space_group_name_H-M 'P m n 21'
_symmetry_Int_Tables_number 31
_symmetry_space_group_name_Hall 'P 2ac -2'
_cell_length_a 2.652
_cell_length_b 8.145
_cell_length_c 3.710
_cell_angle_alpha 90.00
_cell_angle_beta 90.00
_cell_angle_gamma 90.00
loop_
_atom_site_label
_atom_site_type_symbol
_atom_site_fract_x
_atom_site_fract_y
_atom_site_fract_z
_atom_site_occupancy
B1 B 0.000 0.047 0.000 1
B2 B 0.000 0.289 0.375 1
C1 C 0.000 0.423 0.072 1
C2 C 0.000 0.578 0.336 1
C3 C 0.000 0.745 0.085 1
C4 C 0.000 0.903 0.317 1
# Density of states at the Fermi level: 0.3 states/eV per cell
# Calculated volume: 6.7 Å³/atom
# Spin magnetization: 0.00 μB/cell

two.
# BC2 | Alexandria via LeMat-Bulk | PBE-GGA | optimized geometry
data_BC2
_symmetry_space_group_name_H-M 'P -3 m 1'
_symmetry_Int_Tables_number 164
_symmetry_space_group_name_Hall '-P 3 2"'
_cell_length_a 2.5611
_cell_length_b 2.5611
_cell_length_c 13.3886
_cell_angle_alpha 90.00
_cell_angle_beta 90.00
_cell_angle_gamma 120.00
loop_
_atom_site_label
_atom_site_type_symbol
_atom_site_fract_x
_atom_site_fract_y
_atom_site_fract_z
_atom_site_occupancy
B1 B 0.0000 0.0000 0.1834 1
B2 B 0.3333 0.6667 0.4605 1
C1 C 0.0000 0.0000 0.3046 1
C2 C 0.3333 0.6667 0.3424 1
C3 C 0.3333 0.6667 0.8674 1
C4 C 0.3333 0.6667 0.9795 1
# Density of states at the Fermi level: 3.1 states/eV per cell
# Calculated volume: 6.3 Å³/atom
# Spin magnetization: 0.00 μB/cell

Which is the most stable structure? one is the most stable.